Computed, not measured: PPt at its PBEsol-relaxed geometry at the meta-GGA SCAN level of DFT.

Values from the calculation:
As for the magnetic moment: 0.0 μB/f.u. For the density of states at the Fermi level, the calculation gives 1.72 states/eV/cell. Its energy relative to the elements is -0.17 eV/f.u. As for the space-group type: No. 63.

abc: 2.8458 3.4846 6.2773
angles: 73.89 90.00 90.00
Atoms (fractional coordinates):
Pt 0.7500 0.8296 0.3408
P 0.2500 0.4121 0.1759
Pt 0.2500 0.1704 0.6592
P 0.7500 0.5879 0.8241